Record 1
CuAg7Au12: relaxed, PBE.

Calculated formation energy ... 100 kJ/mol of formula units
E_tot ... -3.12 eV/atom

Cell and atoms, written as CIF:
```
data_CuAg7Au12
_cell_length_a 12.3104
_cell_length_b 12.3104
_cell_length_c 8.4975
_cell_angle_alpha 90.00
_cell_angle_beta 90.00
_cell_angle_gamma 120.00
_space_group_name_H-M_alt 'R -3'
_space_group_IT_number 148
_space_group_name_Hall '-R 3'
loop_
_atom_site_label
_atom_site_fract_x
_atom_site_fract_y
_atom_site_fract_z
_atom_site_occupancy
Cu1 0.0000 0.0000 0.0000 1
Ag1 0.0000 0.0000 0.5000 1
Ag2 0.0603 0.2359 0.9173 1
Au1 0.0553 0.2181 0.2502 1
Au2 0.0571 0.2435 0.5814 1
```

***

Record 2
Tl2IrSe: relaxed, PBE.

Uncorrected formation energy ... 0.20 eV/atom
E_tot ... -4.07 eV/atom

Cell and atoms, written as CIF:
```
data_Tl2IrSe
_cell_length_a 3.165
_cell_length_b 4.273
_cell_length_c 14.815
_cell_angle_alpha 90.00
_cell_angle_beta 90.00
_cell_angle_gamma 90.00
_space_group_name_H-M_alt 'I m m m'
_space_group_IT_number 71
_space_group_name_Hall '-I 2 2'
loop_
_atom_site_label
_atom_site_fract_x
_atom_site_fract_y
_atom_site_fract_z
_atom_site_occupancy
Tl1 0.000 0.000 0.171 1
Ir1 0.000 0.500 0.500 1
Se1 0.000 0.500 0.000 1
```

***

Record 3
Ni2PPt: relaxed, PBE.

Calculated formation energy ... -93 kJ/mol of formula units
E_tot ... -5.99 eV/atom

Cell and atoms, written as CIF:
```
data_Ni2PPt
_cell_length_a 2.892
_cell_length_b 4.246
_cell_length_c 8.116
_cell_angle_alpha 90.00
_cell_angle_beta 90.00
_cell_angle_gamma 90.00
_space_group_name_H-M_alt 'I m m m'
_space_group_IT_number 71
_space_group_name_Hall '-I 2 2'
loop_
_atom_site_label
_atom_site_fract_x
_atom_site_fract_y
_atom_site_fract_z
_atom_site_occupancy
Ni1 0.000 0.000 0.207 1
P1 0.000 0.500 0.500 1
Pt1 0.000 0.500 0.000 1
```

***

Record 4
Zn2CdBi: relaxed, PBE.

Calculated formation energy ... 68 kJ/mol of formula units
E_tot ... -1.66 eV/atom

Cell and atoms, written as CIF:
```
data_Zn2CdBi
_cell_length_a 3.540
_cell_length_b 3.540
_cell_length_c 7.075
_cell_angle_alpha 90.00
_cell_angle_beta 90.00
_cell_angle_gamma 90.00
_space_group_name_H-M_alt 'P 4/m m m'
_space_group_IT_number 123
_space_group_name_Hall '-P 4 2'
loop_
_atom_site_label
_atom_site_fract_x
_atom_site_fract_y
_atom_site_fract_z
_atom_site_occupancy
Zn1 0.000 0.000 0.214 1
Cd1 0.500 0.500 0.000 1
Bi1 0.500 0.500 0.500 1
```

***

Record 5
CaIrCl: relaxed, PBE.

Uncorrected formation energy ... -0.86 eV/atom
E_tot ... -5.10 eV/atom

Cell and atoms, written as CIF:
```
data_CaIrCl
_cell_length_a 4.285
_cell_length_b 5.677
_cell_length_c 7.713
_cell_angle_alpha 78.84
_cell_angle_beta 89.92
_cell_angle_gamma 67.84
_space_group_name_H-M_alt 'P 1'
_space_group_IT_number 1
loop_
_space_group_symop_operation_xyz
'x,y,z'
loop_
_atom_site_label
_atom_site_fract_x
_atom_site_fract_y
_atom_site_fract_z
_atom_site_occupancy
Ca1 0.000 0.000 0.000 1
Ca2 0.373 0.251 0.366 1
Ir1 0.098 0.801 0.381 1
Ir2 0.641 0.716 0.278 1
Cl1 0.320 0.360 0.976 1
Cl2 0.972 0.053 0.633 1
```

***

Record 6
TbDy2Sb2: relaxed, PBE.

Uncorrected formation energy ... -0.63 eV/atom
E_tot ... -5.05 eV/atom

Cell and atoms, written as CIF:
```
data_TbDy2Sb2
_cell_length_a 10.589
_cell_length_b 11.933
_cell_length_c 5.926
_cell_angle_alpha 90.00
_cell_angle_beta 123.90
_cell_angle_gamma 90.00
_space_group_name_H-M_alt 'C 1 2/c 1'
_space_group_IT_number 15
loop_
_space_group_symop_operation_xyz
'x,y,z'
'-x,-y,-z'
'-x,y,-z+1/2'
'x,-y,z+1/2'
'x+1/2,y+1/2,z'
'-x+1/2,-y+1/2,-z'
'-x+1/2,y+1/2,-z+1/2'
'x+1/2,-y+1/2,z+1/2'
loop_
_atom_site_label
_atom_site_fract_x
_atom_site_fract_y
_atom_site_fract_z
_atom_site_occupancy
Tb1 0.000 0.099 0.250 1
Dy1 0.179 0.404 0.883 1
Sb1 0.000 0.174 0.750 1
Sb2 0.000 0.370 0.250 1
```

***

> Which of these has the lowest E_tot?

Ni2PPt

***

> The highest E_tot belongs to which entry?

Zn2CdBi